# Li2MnCdI6, relaxed, DFT PBE
data_Li2MnCdI6
_chemical_formula_sum 'Li2 Mn1 Cd1 I6'
_cell_length_a 7.4379
_cell_length_b 7.4380
_cell_length_c 8.0338
_cell_angle_alpha 62.42
_cell_angle_beta 62.42
_cell_angle_gamma 60.00
_space_group_name_H-M_alt 'P 1'
_space_group_IT_number 1
_space_group_name_Hall 'P 1'
loop_
_atom_site_label
_atom_site_type_symbol
_atom_site_fract_x
_atom_site_fract_y
_atom_site_fract_z
I1 I 0.7274 0.1072 0.7542
I2 I 0.4111 0.7275 0.7541
I3 I 0.5915 0.2357 0.2450
I4 I 0.9279 0.5915 0.2450
Li1 Li 0.0061 0.0060 0.9819
Cd1 Cd 0.8201 0.8202 0.5396
I5 I 0.2357 0.9278 0.2450
I6 I 0.1072 0.4112 0.7542
Mn1 Mn 0.3238 0.3238 0.0287
Li2 Li 0.5108 0.5107 0.4677
# Formation energy without anion corrections, eV/atom: -0.732
# Volume, A^3/atom: 32.53
# Space-group type: R3
# E_tot, eV/f.u.: -30.5